No. 1
Entry from Alexandria via LeMat-Bulk: a relaxed ZnCuSe3 crystal (PBE). Values from VASP.

Structure (Quantum ESPRESSO input):
```
&SYSTEM
  ibrav = 0, nat = 5, ntyp = 3
/
ATOMIC_SPECIES
Zn 65.41 Zn.upf
Cu 63.55 Cu.upf
Se 78.96 Se.upf
ATOMIC_POSITIONS angstrom
Zn 0.000 0.000 0.000
Cu 2.457 2.457 2.457
Se 0.000 2.457 0.000
Se 0.000 0.000 2.457
Se 2.457 0.000 0.000
CELL_PARAMETERS angstrom
4.915 0.000 0.000
0.000 4.915 0.000
0.000 0.000 4.915
```

## Properties
Energy above the lowest structure with this stoichiometry in eV/atom: 0.198
Space group: Pm-3m (221)

No. 2
Entry from Alexandria via LeMat-Bulk: a relaxed ZnCuSe3 crystal (PBE). Values from VASP.

Structure (Quantum ESPRESSO input):
```
&SYSTEM
  ibrav = 0, nat = 5, ntyp = 3
/
ATOMIC_SPECIES
Zn 65.41 Zn.upf
Cu 63.55 Cu.upf
Se 78.96 Se.upf
ATOMIC_POSITIONS angstrom
Zn 2.404 2.404 2.404
Cu 0.000 0.000 0.000
Se 0.000 2.404 0.000
Se 0.000 0.000 2.404
Se 2.404 0.000 0.000
CELL_PARAMETERS angstrom
4.808 0.000 0.000
0.000 4.808 0.000
0.000 0.000 4.808
```

## Properties
Energy above the lowest structure with this stoichiometry in eV/atom: 0.000
Space group: Pm-3m (221)

No. 3
Entry from Alexandria via LeMat-Bulk: a relaxed ZnCuSe2 crystal (PBE). Values from VASP.

Structure (Quantum ESPRESSO input):
```
&SYSTEM
  ibrav = 0, nat = 4, ntyp = 3
/
ATOMIC_SPECIES
Cu 63.55 Cu.upf
Se 78.96 Se.upf
Zn 65.41 Zn.upf
ATOMIC_POSITIONS angstrom
Cu -2.044 -0.979 6.890
Se -0.360 -0.429 8.936
Se -1.883 -0.787 2.884
Zn -0.212 -0.253 5.269
CELL_PARAMETERS angstrom
-2.487 1.332 -0.036
-1.038 -2.618 -0.168
-0.390 -0.465 9.673
```

## Properties
Space group: Cmm2 (35)
Uncorrected energy in eV/cell: -11.7

No. 4
Entry from Alexandria via LeMat-Bulk: a relaxed ZnCuSe2 crystal (PBE). Values from VASP.

Structure (Quantum ESPRESSO input):
```
&SYSTEM
  ibrav = 0, nat = 4, ntyp = 3
/
ATOMIC_SPECIES
Zn 65.41 Zn.upf
Cu 63.55 Cu.upf
Se 78.96 Se.upf
ATOMIC_POSITIONS angstrom
Zn 0.299 -0.635 3.637
Cu 1.684 2.608 5.174
Se 0.997 0.447 5.783
Se -1.539 0.563 2.526
CELL_PARAMETERS angstrom
-3.665 1.314 0.530
1.055 -3.507 1.424
1.861 2.882 5.719
```

## Properties
Space group: P3m1 (156)
Uncorrected energy in eV/cell: -13.4

No. 5
Entry from Alexandria via LeMat-Bulk: a relaxed ZnCuSe2 crystal (PBE). Values from VASP.

Structure (Quantum ESPRESSO input):
```
&SYSTEM
  ibrav = 0, nat = 8, ntyp = 3
/
ATOMIC_SPECIES
Zn 65.41 Zn.upf
Cu 63.55 Cu.upf
Se 78.96 Se.upf
ATOMIC_POSITIONS angstrom
Zn 6.704 3.352 1.644
Zn 3.352 6.704 1.644
Cu 6.704 6.704 1.644
Cu 3.352 3.352 1.644
Se 5.374 2.022 0.000
Se 1.330 4.682 0.000
Se 2.022 1.330 0.000
Se 4.682 5.374 0.000
CELL_PARAMETERS angstrom
6.704 0.000 0.000
0.000 6.704 0.000
3.352 3.352 3.287
```

## Properties
Space group: I4/mcm (140)
Uncorrected energy in eV/cell: -24.4

No. 6
Entry from Alexandria via LeMat-Bulk: a relaxed ZnCuSe2 crystal (PBE). Values from VASP.

Structure (Quantum ESPRESSO input):
```
&SYSTEM
  ibrav = 0, nat = 16, ntyp = 3
/
ATOMIC_SPECIES
Zn 65.41 Zn.upf
Cu 63.55 Cu.upf
Se 78.96 Se.upf
ATOMIC_POSITIONS angstrom
Zn 7.381 0.973 4.131
Zn 5.155 2.921 3.201
Zn 11.424 2.920 6.867
Zn 1.113 0.974 0.465
Cu 3.720 0.973 1.229
Cu 8.817 2.921 6.103
Cu 2.549 2.920 2.437
Cu 9.988 0.974 4.895
Se 12.407 0.973 5.531
Se 0.130 2.921 1.801
Se 6.398 2.920 5.467
Se 6.139 0.974 1.865
Se -2.233 2.920 3.600
Se 14.770 0.974 3.732
Se 3.237 0.973 3.772
Se 9.300 2.921 3.560
CELL_PARAMETERS angstrom
17.801 0.000 3.626
0.000 3.894 0.000
-5.265 0.000 3.706
```

## Properties
Space group: P2_1/m (11)
Uncorrected energy in eV/cell: -52.7

No. 7
Entry from Alexandria via LeMat-Bulk: a relaxed ZnCuSe2 crystal (PBE). Values from VASP.

Structure (Quantum ESPRESSO input):
```
&SYSTEM
  ibrav = 0, nat = 4, ntyp = 3
/
ATOMIC_SPECIES
Cu 63.55 Cu.upf
Se 78.96 Se.upf
Zn 65.41 Zn.upf
ATOMIC_POSITIONS angstrom
Cu -2.488 -2.770 4.335
Se 0.000 0.000 0.000
Se -3.732 -4.154 6.503
Zn -1.244 -1.385 2.168
CELL_PARAMETERS angstrom
-2.022 -3.996 1.308
0.599 -1.607 4.339
-3.554 0.064 3.023
```

## Properties
Space group: F-43m (216)
Uncorrected energy in eV/cell: -10.7

No. 8
Entry from Alexandria via LeMat-Bulk: a relaxed ZnCuSe2 crystal (PBE). Values from VASP.

Structure (Quantum ESPRESSO input):
```
&SYSTEM
  ibrav = 0, nat = 16, ntyp = 3
/
ATOMIC_SPECIES
Zn 65.41 Zn.upf
Cu 63.55 Cu.upf
Se 78.96 Se.upf
ATOMIC_POSITIONS angstrom
Zn 3.142 1.819 6.281
Zn -0.678 -3.626 7.760
Zn 3.079 -3.789 6.559
Zn -0.615 1.981 7.482
Cu 5.598 -0.921 7.701
Cu -3.142 -0.904 6.321
Cu 0.598 -1.047 5.110
Cu 1.858 -0.778 8.912
Se 2.399 -5.286 4.707
Se -1.236 0.397 5.683
Se 2.449 0.315 4.440
Se -1.286 -5.204 5.950
Se 5.043 -2.419 5.921
Se -3.842 -2.381 4.576
Se -0.045 -2.588 3.398
Se 1.246 -2.212 7.099
CELL_PARAMETERS angstrom
-5.034 -2.456 3.866
4.904 -5.498 2.894
1.735 4.110 4.870
```

## Properties
Space group: Pna2_1 (33)
Uncorrected energy in eV/cell: -55.3

No. 9
Entry from Alexandria via LeMat-Bulk: a relaxed ZnCuSe2 crystal (PBE). Values from VASP.

Structure (Quantum ESPRESSO input):
```
&SYSTEM
  ibrav = 0, nat = 4, ntyp = 3
/
ATOMIC_SPECIES
Cu 63.55 Cu.upf
Se 78.96 Se.upf
Zn 65.41 Zn.upf
ATOMIC_POSITIONS angstrom
Cu 1.755 1.754 5.347
Se 0.000 0.000 5.968
Se 1.755 1.754 2.678
Zn 0.000 0.000 3.458
CELL_PARAMETERS angstrom
3.509 0.000 0.000
0.000 3.509 0.000
0.000 0.000 6.981
```

## Properties
Space group: P4mm (99)
Uncorrected energy in eV/cell: -13.1

No. 10
Entry from Alexandria via LeMat-Bulk: a relaxed ZnCuSe2 crystal (PBE). Values from VASP.

Structure (Quantum ESPRESSO input):
```
&SYSTEM
  ibrav = 0, nat = 8, ntyp = 3
/
ATOMIC_SPECIES
Zn 65.41 Zn.upf
Cu 63.55 Cu.upf
Se 78.96 Se.upf
ATOMIC_POSITIONS angstrom
Zn 1.151 1.049 9.183
Zn -2.140 0.138 3.718
Cu -2.635 0.733 10.165
Cu 1.647 0.455 2.737
Se -0.610 0.647 1.775
Se 0.841 -0.604 7.302
Se -0.379 0.541 11.127
Se -1.829 1.792 5.600
CELL_PARAMETERS angstrom
-4.041 3.506 1.852
-2.261 -1.475 6.505
5.313 -0.843 4.545
```

## Properties
Space group: C2/c (15)
Uncorrected energy in eV/cell: -26.9

No. 11
Entry from Alexandria via LeMat-Bulk: a relaxed ZnCuSe2 crystal (PBE). Values from VASP.

Structure (Quantum ESPRESSO input):
```
&SYSTEM
  ibrav = 0, nat = 4, ntyp = 3
/
ATOMIC_SPECIES
Cu 63.55 Cu.upf
Se 78.96 Se.upf
Zn 65.41 Zn.upf
ATOMIC_POSITIONS angstrom
Cu 2.447 4.013 2.992
Se 0.000 4.695 3.503
Se 2.447 1.933 1.442
Zn 0.000 2.702 2.017
CELL_PARAMETERS angstrom
4.894 0.000 0.000
0.000 4.118 0.048
0.000 1.219 3.934
```

## Properties
Space group: Amm2 (38)
Uncorrected energy in eV/cell: -13.3

No. 12
Entry from Alexandria via LeMat-Bulk: a relaxed ZnCuSe2 crystal (PBE). Values from VASP.

Structure (Quantum ESPRESSO input):
```
&SYSTEM
  ibrav = 0, nat = 4, ntyp = 3
/
ATOMIC_SPECIES
Zn 65.41 Zn.upf
Se 78.96 Se.upf
Cu 63.55 Cu.upf
ATOMIC_POSITIONS angstrom
Zn 5.151 1.294 2.516
Se 3.108 0.181 1.737
Se 7.175 0.124 1.704
Cu 9.100 1.304 2.530
CELL_PARAMETERS angstrom
7.983 -0.023 -0.001
1.973 3.432 -0.018
-0.006 -2.263 3.248
```

## Properties
Space group: R3m (160)
Uncorrected energy in eV/cell: -13.9